Record 1
Compound: Rb3DyBi2Te6
Source: the Alexandria database
Functional: PBE
Structure: relaxed

Summary:
* energy relative to the elements, uncorrected: -0.870 eV/atom
* theoretical density: 5.642 g cm⁻³

Geometry as CIF:
```
data_Rb3DyBi2Te6
_symmetry_space_group_name_H-M 'C 1 2/m 1'
_symmetry_Int_Tables_number 12
_cell_length_a 7.975
_cell_length_b 13.812
_cell_length_c 8.967
_cell_angle_alpha 90.00
_cell_angle_beta 107.23
_cell_angle_gamma 90.00
loop_
_symmetry_equiv_pos_as_xyz
'x,y,z'
'-x,-y,-z'
'-x,y,-z'
'x,-y,z'
'x+1/2,y+1/2,z'
'-x+1/2,-y+1/2,-z'
'-x+1/2,y+1/2,-z'
'x+1/2,-y+1/2,z'
loop_
_atom_site_label
_atom_site_fract_x
_atom_site_fract_y
_atom_site_fract_z
Rb1 0.000 0.000 0.000
Rb2 0.000 0.331 0.000
Dy1 0.000 0.500 0.500
Bi1 0.000 0.166 0.500
Te1 0.231 0.336 0.700
Te2 0.239 0.000 0.701
```

Record 2
Compound: Ac3AlCu2Ge6
Source: the Alexandria database
Functional: PBE
Structure: relaxed

Summary:
* DFT formation energy: -232 meV/atom
* theoretical density: 7.203 g cm⁻³

Geometry as CIF:
```
data_Ac3AlCu2Ge6
_symmetry_space_group_name_H-M 'P -3 m 1'
_symmetry_Int_Tables_number 164
_symmetry_space_group_name_Hall '-P 3 2"'
_cell_length_a 6.3675
_cell_length_b 6.3675
_cell_length_c 8.3444
_cell_angle_alpha 90.00
_cell_angle_beta 90.00
_cell_angle_gamma 120.00
loop_
_atom_site_label
_atom_site_fract_x
_atom_site_fract_y
_atom_site_fract_z
Ac1 0.0000 0.0000 0.0000
Ac2 0.3333 0.6667 0.6484
Al1 0.0000 0.0000 0.5000
Cu1 0.3333 0.6667 0.0516
Ge1 0.1930 0.3859 0.2948
```

Record 3
Compound: Li2AlRe
Source: the Alexandria database
Functional: PBE
Structure: relaxed

Summary:
* DFT formation energy: 179 meV/atom
* theoretical density: 6.383 g cm⁻³

Geometry as CIF:
```
data_Li2AlRe
_symmetry_space_group_name_H-M 'C m m m'
_symmetry_Int_Tables_number 65
_symmetry_space_group_name_Hall '-C 2 2'
_cell_length_a 5.053
_cell_length_b 9.047
_cell_length_c 2.584
_cell_angle_alpha 90.00
_cell_angle_beta 90.00
_cell_angle_gamma 90.00
loop_
_atom_site_label
_atom_site_fract_x
_atom_site_fract_y
_atom_site_fract_z
Li1 0.250 0.250 0.000
Al1 0.000 0.000 0.500
Re1 0.000 0.500 0.500
```

Record 4
Compound: RbTiSCl2
Source: the Alexandria database
Functional: PBE
Structure: relaxed

Summary:
* energy relative to the elements, uncorrected: -1.495 eV/atom
* energy above the lowest structure with this stoichiometry: 0.0 kJ/mol of atoms
* theoretical density: 3.184 g cm⁻³

Geometry as CIF:
```
data_RbTiSCl2
_symmetry_space_group_name_H-M 'P 4/m m m'
_symmetry_Int_Tables_number 123
_symmetry_space_group_name_Hall '-P 4 2'
_cell_length_a 5.100
_cell_length_b 5.100
_cell_length_c 4.739
_cell_angle_alpha 90.00
_cell_angle_beta 90.00
_cell_angle_gamma 90.00
loop_
_atom_site_label
_atom_site_fract_x
_atom_site_fract_y
_atom_site_fract_z
Rb1 0.000 0.000 0.000
Ti1 0.500 0.500 0.500
S1 0.500 0.500 0.000
Cl1 0.000 0.500 0.500
```

Record 5
Compound: VTcRh2
Source: the Alexandria database
Functional: PBE
Structure: relaxed

Summary:
* energy above the lowest structure with this stoichiometry: 53.7 kJ/mol of atoms
* DFT formation energy: 288 meV/atom
* theoretical density: 9.673 g cm⁻³

Geometry as CIF:
```
data_VTcRh2
_symmetry_space_group_name_H-M 'I -4 2 d'
_symmetry_Int_Tables_number 122
_symmetry_space_group_name_Hall 'I -4 2bw'
_cell_length_a 3.727
_cell_length_b 3.727
_cell_length_c 17.541
_cell_angle_alpha 90.00
_cell_angle_beta 90.00
_cell_angle_gamma 90.00
loop_
_atom_site_label
_atom_site_fract_x
_atom_site_fract_y
_atom_site_fract_z
V1 0.000 0.000 0.000
Tc1 0.000 0.000 0.500
Rh1 0.244 0.250 0.125
```

Record 6
Compound: Dy2ErHf3N6
Source: the Alexandria database
Functional: PBE
Structure: relaxed

Summary:
* energy relative to the elements, uncorrected: -1.804 eV/atom
* theoretical density: 11.920 g cm⁻³

Geometry as CIF:
```
data_Dy2ErHf3N6
_symmetry_space_group_name_H-M 'C 1 2/m 1'
_symmetry_Int_Tables_number 12
_cell_length_a 14.526
_cell_length_b 3.301
_cell_length_c 6.662
_cell_angle_alpha 90.00
_cell_angle_beta 104.12
_cell_angle_gamma 90.00
loop_
_symmetry_equiv_pos_as_xyz
'x,y,z'
'-x,-y,-z'
'-x,y,-z'
'x,-y,z'
'x+1/2,y+1/2,z'
'-x+1/2,-y+1/2,-z'
'-x+1/2,y+1/2,-z'
'x+1/2,-y+1/2,z'
loop_
_atom_site_label
_atom_site_fract_x
_atom_site_fract_y
_atom_site_fract_z
Dy1 0.167 0.000 0.333
Er1 0.000 0.500 0.000
Hf1 0.000 0.500 0.500
Hf2 0.166 0.000 0.833
N1 0.005 0.000 0.739
N2 0.161 0.500 0.597
N3 0.171 0.500 0.069
```

Record 7
Compound: Ba2CuMo
Source: the Alexandria database
Functional: PBE
Structure: relaxed

Summary:
* energy above the lowest structure with this stoichiometry: 18.2 kJ/mol of atoms
* DFT formation energy: 854 meV/atom
* theoretical density: 5.729 g cm⁻³

Geometry as CIF:
```
data_Ba2CuMo
_symmetry_space_group_name_H-M 'C m m m'
_symmetry_Int_Tables_number 65
_symmetry_space_group_name_Hall '-C 2 2'
_cell_length_a 8.128
_cell_length_b 8.139
_cell_length_c 3.804
_cell_angle_alpha 90.00
_cell_angle_beta 90.00
_cell_angle_gamma 90.00
loop_
_atom_site_label
_atom_site_fract_x
_atom_site_fract_y
_atom_site_fract_z
Ba1 0.250 0.250 0.000
Cu1 0.000 0.000 0.500
Mo1 0.000 0.500 0.500
```

Record 8
Compound: Th8TcTe4P3
Source: the Alexandria database
Functional: PBE
Structure: relaxed

Summary:
* energy relative to the elements, uncorrected: -1.176 eV/atom
* theoretical density: 9.238 g cm⁻³

Geometry as CIF:
```
data_Th8TcTe4P3
_symmetry_space_group_name_H-M 'R -3 m'
_symmetry_Int_Tables_number 166
_symmetry_space_group_name_Hall '-R 3 2"'
_cell_length_a 8.4804
_cell_length_b 8.4804
_cell_length_c 22.1455
_cell_angle_alpha 90.00
_cell_angle_beta 90.00
_cell_angle_gamma 120.00
loop_
_atom_site_label
_atom_site_fract_x
_atom_site_fract_y
_atom_site_fract_z
Th1 0.0000 0.0000 0.2359
Th2 0.0076 0.5038 0.2355
Tc1 0.0000 0.0000 0.5000
Te1 0.0000 0.0000 0.0000
Te2 0.0000 0.5000 0.0000
P1 0.0000 0.5000 0.5000
```